# Ac2CrCdO6 | the Alexandria database | PBE+U | relaxed
# total energy	-6.933	eV/atom
data_Ac2CrCdO6
_chemical_formula_sum 'Ac2 Cr1 Cd1 O6'
_symmetry_space_group_name_H-M 'P 4 m m'
_symmetry_Int_Tables_number 99
_cell_length_a 5.661
_cell_length_b 5.661
_cell_length_c 4.809
_cell_angle_alpha 90.00
_cell_angle_beta 90.00
_cell_angle_gamma 90.00
loop_
_symmetry_equiv_pos_as_xyz
'x,y,z'
'-y,x,z'
'-x,-y,z'
'y,-x,z'
'-x,y,z'
'y,x,z'
'x,-y,z'
'-y,-x,z'
loop_
_atom_site_label
_atom_site_type_symbol
_atom_site_fract_x
_atom_site_fract_y
_atom_site_fract_z
Ac1 Ac 0.000 0.500 0.000
Cr1 Cr 0.000 0.000 0.570
Cd1 Cd 0.500 0.500 0.549
O1 O 0.000 0.000 0.194
O2 O 0.229 0.229 0.687
O3 O 0.500 0.500 0.099


# Ac2CrCdO5 | the Alexandria database | PBE+U | relaxed
# total energy	-6.797	eV/atom
data_Ac2CrCdO5
_chemical_formula_sum 'Ac4 Cr2 Cd2 O10'
_symmetry_space_group_name_H-M 'P 4/m b m'
_symmetry_Int_Tables_number 127
_symmetry_space_group_name_Hall '-P 4 2ab'
_cell_length_a 7.273
_cell_length_b 7.273
_cell_length_c 5.791
_cell_angle_alpha 90.00
_cell_angle_beta 90.00
_cell_angle_gamma 90.00
loop_
_atom_site_label
_atom_site_type_symbol
_atom_site_fract_x
_atom_site_fract_y
_atom_site_fract_z
Ac1 Ac 0.182 0.318 0.000
Cr1 Cr 0.000 0.500 0.500
Cd1 Cd 0.000 0.000 0.500
O1 O 0.000 0.000 0.000
O2 O 0.128 0.628 0.259